TbTh2Pa | PBE | optimized geometry

Crystal system: tetragonal
SG: P4/mmm (123)
Energy relative to the lowest polymorph listed for this composition in eV/f.u.: 0.00
Calculated volume in Å³ per atom: 30.19
Final energy in eV for the cell shown: -28.6
ΔE_f in eV per formula unit: 0.33
N(E_F) in states/eV/cell: 5.8

a b c (Å): 3.4983 3.4983 9.8676
angles (deg): 90.00 90.00 90.00
Closest atoms and distances in Å follow each position.
Sites, in units of the cell vectors:
Pa: 0.5000 0.5000 0.0000  8 Th 3.42, 4 Pa 3.50
Tb: 0.5000 0.5000 0.5000  4 Tb 3.50, 8 Th 3.57
Th: 0.0000 0.0000 0.7610  4 Pa 3.42, 4 Th 3.50, 4 Tb 3.57
Th: 0.0000 0.0000 0.2390  4 Pa 3.42, 4 Th 3.50, 4 Tb 3.57

=====

TbTmThPa | PBE | optimized geometry

Crystal system: cubic
SG: F-43m (216)
Calculated volume in Å³ per atom: 29.98
Final energy in eV for the cell shown: -24.6
ΔE_f in eV per formula unit: 1.40
N(E_F) in states/eV/cell: 12.2

a b c (Å): 5.5355 5.5355 5.5355
angles (deg): 60.00 60.00 60.00
Closest atoms and distances in Å follow each position.
Sites, in units of the cell vectors:
Tb: 0.0000 0.0000 0.0000  4 Tm 3.39, 4 Pa 3.39
Pa: 0.7500 0.7500 0.7500  4 Th 3.39, 4 Tb 3.39
Tm: 0.2500 0.2500 0.2500  4 Th 3.39, 4 Tb 3.39
Th: 0.5000 0.5000 0.5000  4 Pa 3.39, 4 Tm 3.39

=====

TbPa2Ti | PBE | optimized geometry

Crystal system: tetragonal
SG: P4/mmm (123)
Calculated volume in Å³ per atom: 24.30
Final energy in eV for the cell shown: -30.6
ΔE_f in eV per formula unit: 0.90
N(E_F) in states/eV/cell: 9.4

a b c (Å): 3.1188 3.1188 9.9933
angles (deg): 90.00 90.00 90.00
Closest atoms and distances in Å follow each position.
Sites, in units of the cell vectors:
Pa: 0.0000 0.0000 0.7745  4 Pa 3.12, 4 Ti 3.15
Pa: 0.0000 0.0000 0.2255  4 Pa 3.12, 4 Ti 3.15
Tb: 0.5000 0.5000 0.5000  4 Tb 3.12
Ti: 0.5000 0.5000 0.0000  4 Ti 3.12, 8 Pa 3.15

=====

TbPaTi | PBE | optimized geometry

Crystal system: monoclinic
SG: C2/m (12)
Calculated volume in Å³ per atom: 24.65
Final energy in eV for the cell shown: -42.7
ΔE_f in eV per formula unit: 0.65
N(E_F) in states/eV/cell: 12.0

a b c (Å): 4.8919 5.8550 6.6681
angles (deg): 119.44 111.54 65.29
Closest atoms and distances in Å follow each position.
Sites, in units of the cell vectors:
Tb: 0.3243 0.7356 0.3840  4 Ti 3.14-3.19, 3 Pa 3.28-3.47, 1 Tb 3.35
Tb: 0.6757 0.2644 0.6160  4 Ti 3.14-3.19, 3 Pa 3.28-3.47, 1 Tb 3.35
Pa: 0.0177 0.7692 0.8046  1 Pa 2.67
Pa: 0.9823 0.2308 0.1954  1 Pa 2.67
Ti: 0.6449 0.8036 0.0938  1 Ti 2.77, 2 Pa 2.99-3.00
Ti: 0.3551 0.1964 0.9062  1 Ti 2.77, 2 Pa 2.99-3.00

=====

TbPaTl2 | PBE | optimized geometry

Crystal system: tetragonal
SG: P4/mmm (123)
Energy relative to the lowest polymorph listed for this composition in eV/f.u.: 0.26
Calculated volume in Å³ per atom: 27.25
Final energy in eV for the cell shown: -18.8
ΔE_f in eV per formula unit: 0.10
N(E_F) in states/eV/cell: 6.6

a b c (Å): 4.5088 4.9164 4.9164
angles (deg): 90.00 90.00 90.00
Closest atoms and distances in Å follow each position.
Sites, in units of the cell vectors:
Tl: 0.0000 0.0000 0.5000  4 Tb 3.34, 4 Pa 3.34, 4 Tl 3.48
Tl: 0.0000 0.5000 0.0000  4 Pa 3.34, 4 Tb 3.34, 4 Tl 3.48
Pa: 0.5000 0.0000 0.0000  8 Tl 3.34, 4 Tb 3.48
Tb: 0.5000 0.5000 0.5000  8 Tl 3.34, 4 Pa 3.48

=====

TbPaTl2 | PBE | optimized geometry

Crystal system: cubic
SG: Fm-3m (225)
Energy relative to the lowest polymorph listed for this composition in eV/f.u.: 0.40
Calculated volume in Å³ per atom: 27.62
Final energy in eV for the cell shown: -18.6
ΔE_f in eV per formula unit: 0.24
N(E_F) in states/eV/cell: 8.8

a b c (Å): 5.3851 5.3851 5.3865
angles (deg): 60.01 60.01 60.00
Closest atoms and distances in Å follow each position.
Sites, in units of the cell vectors:
Tl: 0.7500 0.7500 0.7501  4 Pa 3.30, 4 Tb 3.30
Tl: 0.2500 0.2500 0.2499  4 Pa 3.30, 4 Tb 3.30
Pa: 0.0000 0.0000 0.0000  8 Tl 3.30
Tb: 0.5000 0.5000 0.5000  8 Tl 3.30

=====

TbPaTl2 | PBE | optimized geometry

Crystal system: tetragonal
SG: P4/mmm (123)
Energy relative to the lowest polymorph listed for this composition in eV/f.u.: 0.00
Calculated volume in Å³ per atom: 26.65
Final energy in eV for the cell shown: -19.0
ΔE_f in eV per formula unit: -0.15
N(E_F) in states/eV/cell: 6.6

a b c (Å): 3.4170 3.4170 9.1286
angles (deg): 90.00 90.00 90.00
Closest atoms and distances in Å follow each position.
Sites, in units of the cell vectors:
Tl: 0.0000 0.0000 0.7532  4 Tb 3.30, 4 Pa 3.34, 4 Tl 3.42
Tl: 0.0000 0.0000 0.2468  4 Tb 3.30, 4 Pa 3.34, 4 Tl 3.42
Pa: 0.5000 0.5000 0.5000  8 Tl 3.34, 4 Pa 3.42
Tb: 0.5000 0.5000 0.0000  8 Tl 3.30, 4 Tb 3.42

=====

TbPaTlZn | PBE | optimized geometry

Crystal system: cubic
SG: F-43m (216)
Calculated volume in Å³ per atom: 25.28
Final energy in eV for the cell shown: -17.6
ΔE_f in eV per formula unit: 0.21
N(E_F) in states/eV/cell: 7.2

a b c (Å): 5.2294 5.2294 5.2294
angles (deg): 60.00 60.00 60.00
Closest atoms and distances in Å follow each position.
Sites, in units of the cell vectors:
Tl: 0.5000 0.5000 0.5000  4 Tb 3.20, 4 Pa 3.20
Pa: 0.2500 0.2500 0.2500  4 Zn 3.20, 4 Tl 3.20
Tb: 0.7500 0.7500 0.7500  4 Tl 3.20, 4 Zn 3.20
Zn: 0.0000 0.0000 0.0000  4 Tb 3.20, 4 Pa 3.20

=====

Tb2TmPa | PBE | optimized geometry

Crystal system: tetragonal
SG: P4/mmm (123)
Energy relative to the lowest polymorph listed for this composition in eV/f.u.: 0.08
Calculated volume in Å³ per atom: 29.48
Final energy in eV for the cell shown: -22.7
ΔE_f in eV per formula unit: 0.54
N(E_F) in states/eV/cell: 6.2

a b c (Å): 3.4087 3.4087 10.1478
angles (deg): 90.00 90.00 90.00
Closest atoms and distances in Å follow each position.
Sites, in units of the cell vectors:
Tb: 0.0000 0.0000 0.7648  4 Pa 3.39, 4 Tb 3.41, 4 Tm 3.61
Tb: 0.0000 0.0000 0.2352  4 Pa 3.39, 4 Tb 3.41, 4 Tm 3.61
Pa: 0.5000 0.5000 0.0000  8 Tb 3.39, 4 Pa 3.41
Tm: 0.5000 0.5000 0.5000  4 Tm 3.41, 8 Tb 3.61

=====

Tb2TmPa | PBE | optimized geometry

Crystal system: tetragonal
SG: P4/mmm (123)
Energy relative to the lowest polymorph listed for this composition in eV/f.u.: 0.38
Calculated volume in Å³ per atom: 29.36
Final energy in eV for the cell shown: -22.4
ΔE_f in eV per formula unit: 0.84
N(E_F) in states/eV/cell: 4.7

a b c (Å): 4.8659 4.9130 4.9130
angles (deg): 90.00 90.00 90.00
Closest atoms and distances in Å follow each position.
Sites, in units of the cell vectors:
Tb: 0.0000 0.0000 0.5000  4 Pa 3.46, 4 Tm 3.46, 4 Tb 3.47
Tb: 0.0000 0.5000 0.0000  4 Pa 3.46, 4 Tm 3.46, 4 Tb 3.47
Pa: 0.5000 0.5000 0.5000  8 Tb 3.46, 4 Tm 3.47
Tm: 0.5000 0.0000 0.0000  8 Tb 3.46, 4 Pa 3.47

=====

Tb2TmPa | PBE | optimized geometry

Crystal system: trigonal
SG: R3m (160)
Energy relative to the lowest polymorph listed for this composition in eV/f.u.: 0.00
Calculated volume in Å³ per atom: 29.18
Final energy in eV for the cell shown: -22.8
ΔE_f in eV per formula unit: 0.46
N(E_F) in states/eV/cell: 5.8

a b c (Å): 3.4268 3.4268 11.6450
angles (deg): 81.54 81.54 60.00
Closest atoms and distances in Å follow each position.
Sites, in units of the cell vectors:
Tb: 0.0853 0.0853 0.7441  6 Tb 3.43, 3 Pa 3.44, 3 Tm 3.55
Tb: 0.2477 0.2477 0.2570  3 Pa 3.40, 6 Tb 3.43, 3 Tm 3.55
Tm: 0.6665 0.6665 0.0004  6 Tm 3.43, 6 Tb 3.55
Pa: 0.5005 0.5005 0.4984  6 Tb 3.40-3.44, 6 Pa 3.43

=====

Tb2TmPa | PBE | optimized geometry

Crystal system: trigonal
SG: R-3m (166)
Energy relative to the lowest polymorph listed for this composition in eV/f.u.: 0.64
Calculated volume in Å³ per atom: 29.16
Final energy in eV for the cell shown: -22.1
ΔE_f in eV per formula unit: 1.10
N(E_F) in states/eV/cell: 5.5

a b c (Å): 3.3259 3.3259 12.3273
angles (deg): 82.25 82.25 60.00
Closest atoms and distances in Å follow each position.
Sites, in units of the cell vectors:
Tb: 0.0877 0.0877 0.7370  1 Pa 3.20, 6 Tb 3.33, 3 Tm 3.47
Tb: 0.9123 0.9123 0.2630  1 Pa 3.20, 6 Tb 3.33, 3 Tm 3.47
Pa: 0.0000 0.0000 0.0000  2 Tb 3.20, 6 Pa 3.33
Tm: 0.5000 0.5000 0.5000  6 Tm 3.33, 6 Tb 3.47

=====

TbUPa | PBE | optimized geometry

Crystal system: orthorhombic
SG: Pnma (62)
Calculated volume in Å³ per atom: 26.24
Final energy in eV for the cell shown: -98.6
ΔE_f in eV per formula unit: 0.77
N(E_F) in states/eV/cell: 26.6

a b c (Å): 4.7588 5.2099 12.7003
angles (deg): 90.00 90.00 90.00
Closest atoms and distances in Å follow each position.
Sites, in units of the cell vectors:
Tb: 0.7500 0.0075 0.7389  4 Pa 3.28-3.39, 4 U 3.51-3.59, 4 Tb 3.54
Tb: 0.2500 0.5075 0.7611  4 Pa 3.28-3.39, 4 U 3.51-3.59, 4 Tb 3.54
Tb: 0.2500 0.9925 0.2611  4 Pa 3.28-3.39, 4 U 3.51-3.59, 4 Tb 3.54
Tb: 0.7500 0.4925 0.2389  4 Pa 3.28-3.39, 4 U 3.51-3.59, 4 Tb 3.54
U: 0.7500 0.0691 0.4622  1 Pa 2.64, 2 U 2.66
U: 0.2500 0.5691 0.0378  1 Pa 2.64, 2 U 2.66
U: 0.2500 0.9309 0.5378  1 Pa 2.64, 2 U 2.66
U: 0.7500 0.4309 0.9622  1 Pa 2.64, 2 U 2.66
Pa: 0.7500 0.4936 0.5751  1 U 2.64
Pa: 0.2500 0.9936 0.9249  1 U 2.64
Pa: 0.2500 0.5064 0.4249  1 U 2.64
Pa: 0.7500 0.0064 0.0751  1 U 2.64

=====

Tb2PaV | PBE | optimized geometry

Crystal system: trigonal
SG: R-3m (166)
Calculated volume in Å³ per atom: 26.25
Final energy in eV for the cell shown: -25.4
ΔE_f in eV per formula unit: 2.51
N(E_F) in states/eV/cell: 5.9

a b c (Å): 3.2893 3.2893 11.3663
angles (deg): 81.68 81.68 60.00
Closest atoms and distances in Å follow each position.
Sites, in units of the cell vectors:
Pa: 0.5000 0.5000 0.5000  6 Pa 3.29, 6 Tb 3.38
Tb: 0.0835 0.0835 0.7494  1 V 2.81
Tb: 0.9165 0.9165 0.2506  1 V 2.81
V: 0.0000 0.0000 0.0000  2 Tb 2.81